Entry from Alexandria: an optimized crystal structure of Ta2Hg2PtS6 (PBE).

Values from the calculation:
ΔE_f (raw) in eV per atom: -0.58
Symmetry: C2/m, No. 12

a b c (Å): 6.0052 6.0052 9.5780
angles (deg): 96.69 96.69 122.55
Closest atoms and distances in Å follow each position.
Element x y z (fractional)
Ta 0.1402 0.8598 0.0000  6 S 2.44-2.58
Ta 0.8598 0.1402 0.0000  6 S 2.44-2.58
Hg 0.2469 0.7531 0.5000  2 Hg 2.89
Hg 0.7531 0.2469 0.5000  2 Hg 2.89
Pt 0.5000 0.5000 0.0000  6 S 2.45-2.49
S 0.1061 0.1061 0.8218  2 Ta 2.44, 1 Pt 2.49
S 0.2324 0.5758 0.1496  2 Ta 2.45-2.58, 1 Pt 2.45
S 0.4242 0.7676 0.8504  2 Ta 2.45-2.58, 1 Pt 2.45
S 0.5758 0.2324 0.1496  2 Ta 2.45-2.58, 1 Pt 2.45
S 0.7676 0.4242 0.8504  2 Ta 2.45-2.58, 1 Pt 2.45
S 0.8939 0.8939 0.1782  2 Ta 2.44, 1 Pt 2.49